(1)
! Nd3RuSeCl GGA-PBE optimized geometry; values from VASP
! Formation energy (no corrections), eV per formula unit: -7.04
! Total moment, μB per atom: 0.0000
! VASP energy, eV per atom: -5.99
&SYSTEM
  ibrav = 0, nat = 12, ntyp = 4
/
ATOMIC_SPECIES
Nd 144.24 Nd.upf
Ru 101.07 Ru.upf
Se 78.96 Se.upf
Cl 35.45 Cl.upf
CELL_PARAMETERS angstrom
8.1811 0.0000 0.0000
0.0000 4.1619 0.0000
-0.1091 0.0000 9.7302
ATOMIC_POSITIONS angstrom
Nd 0.4244 1.0405 2.3086
Nd 2.1669 3.1214 4.8265
Nd 2.6901 1.0405 7.9384
Nd 5.3819 3.1214 1.7918
Nd 5.9050 1.0405 4.9037
Nd 7.6476 3.1214 7.4216
Ru 0.6361 1.0405 5.9508
Ru 7.4359 3.1214 3.7794
Se 3.5358 1.0405 2.8663
Se 4.5361 3.1214 6.8639
Cl 1.4860 3.1214 9.6885
Cl 6.5859 1.0405 0.0417



(2)
! Zr3TaS8 GGA-PBE optimized geometry; values from VASP
! Formation energy (no corrections), eV per formula unit: -16.52
! Total moment, μB per atom: 0.0000
! VASP energy, eV per atom: -7.25
&SYSTEM
  ibrav = 0, nat = 12, ntyp = 3
/
ATOMIC_SPECIES
Zr 91.22 Zr.upf
Ta 180.95 Ta.upf
S 32.06 S.upf
CELL_PARAMETERS angstrom
6.2401 -3.5995 0.0000
6.2401 3.5995 0.0000
-4.2980 0.0000 6.7570
ATOMIC_POSITIONS angstrom
Zr 0.0000 0.0000 0.0000
Zr 3.1201 1.7997 0.0000
Zr 3.1201 -1.7997 0.0000
Ta 6.2401 0.0000 0.0000
S 2.0789 0.0000 1.5060
S 5.2371 1.7315 1.4811
S -0.0566 0.0000 5.2759
S 2.9451 1.7315 5.2759
S 5.2371 -1.7315 1.4811
S 8.2388 0.0000 1.4811
S 2.9451 -1.7315 5.2759
S 6.1033 0.0000 5.2510



(3)
! Tb6BiAs3Se2 GGA-PBE optimized geometry; values from VASP
! Formation energy (no corrections), eV per formula unit: -18.43
! Total moment, μB per atom: 0.0000
! VASP energy, eV per atom: -5.92
&SYSTEM
  ibrav = 0, nat = 12, ntyp = 4
/
ATOMIC_SPECIES
Tb 158.93 Tb.upf
Bi 208.98 Bi.upf
As 74.92 As.upf
Se 78.96 Se.upf
CELL_PARAMETERS angstrom
9.1450 -2.0908 0.0000
9.1450 2.0908 0.0000
-2.0002 0.0000 8.1688
ATOMIC_POSITIONS angstrom
Tb -0.4409 0.0000 1.9078
Tb 5.1314 0.0000 3.4427
Tb 4.3185 0.0000 7.4311
Tb 11.9713 0.0000 0.7377
Tb 11.1583 0.0000 4.7261
Tb 16.7307 0.0000 6.2610
Bi 8.1449 0.0000 4.0844
As 2.3700 0.0000 2.7053
As 9.1450 0.0000 0.0000
As 13.9197 0.0000 5.4636
Se 1.4126 0.0000 6.8323
Se 14.8772 0.0000 1.3366



(4)
! MnAsIr GGA-PBE optimized geometry; values from VASP
! Formation enthalpy at 0 K, meV/atom: -15
! Total moment, μB per atom: 0.9710
! VASP energy, eV per atom: -7.57
&SYSTEM
  ibrav = 0, nat = 6, ntyp = 3
/
ATOMIC_SPECIES
Mn 54.94 Mn.upf
As 74.92 As.upf
Ir 192.22 Ir.upf
CELL_PARAMETERS angstrom
6.6519 -1.5453 0.0000
6.6519 1.5453 0.0000
-1.4261 0.0000 4.3356
ATOMIC_POSITIONS angstrom
Mn 0.0000 0.0000 0.0000
Mn 1.8697 0.0000 2.1259
As 3.3761 0.0000 3.9965
As 8.6509 0.0000 0.2522
Ir 6.4279 0.0000 2.3249
Ir 10.8119 0.0000 1.6318



(5)
! RbLaTl2 GGA-PBE optimized geometry; values from VASP
! Formation enthalpy at 0 K, meV/atom: -216
! Total moment, μB per atom: 0.0149
! E above lowest polymorph, eV/atom: 0.0000
! VASP energy, eV per atom: -2.87
&SYSTEM
  ibrav = 0, nat = 4, ntyp = 3
/
ATOMIC_SPECIES
Rb 85.47 Rb.upf
La 138.91 La.upf
Tl 204.38 Tl.upf
CELL_PARAMETERS angstrom
4.0674 0.0000 0.0000
0.0000 4.0674 0.0000
0.0000 0.0000 9.0242
ATOMIC_POSITIONS angstrom
Rb 0.0000 0.0000 0.0000
La 0.0000 0.0000 4.5121
Tl 2.0337 2.0337 2.6815
Tl 2.0337 2.0337 6.3426